ScMoCl2: relaxed, PBE.

It has space group C2/m (No. 12), with a = 13.550 Å, b = 3.196 Å, c = 4.748 Å, α = 90.00°, β = 94.81° and γ = 90.00°. Symmetry generates all atoms from Sc at (0.000, 0.000, 0.000), Mo at (0.000, 0.500, 0.500) and Cl at (0.140, 0.500, 0.210).

The crystal system is monoclinic. Its density of states at the Fermi level is 3.5 states/eV/f.u. The total magnetization comes out at 1.4 μB/f.u. The excess energy over the best structure of this formula in the dataset comes out at 326 meV/atom.